VASP calculation (PBE-GGA) on a geometry-optimized Fe3Ir5 structure.

The electronic total energy is -8.59 eV per atom. As for the space-group type: P-1, No. 2. The value obtained for the formation energy is 0.12 eV/atom. The density of states at the Fermi level is 1.140 states/eV per atom. The crystal system is triclinic. Its total moment is 0.901 μB/atom. The calculation puts the mass density at 16.78 Mg/m³.

Lattice parameters (Å, degrees): 4.5912 6.5632 7.6528 87.19 81.99 78.09
Positions (direct):
Fe (0.1105, 0.0044, 0.1271)
Fe (0.2205, 0.5674, 0.0396)
Fe (0.3680, 0.3459, 0.4793)
Fe (0.6320, 0.6541, 0.5207)
Fe (0.7795, 0.4326, 0.9604)
Fe (0.8895, 0.9956, 0.8729)
Ir (0.0830, 0.6215, 0.7139)
Ir (0.1658, 0.6940, 0.3503)
Ir (0.2413, 0.9791, 0.5726)
Ir (0.3249, 0.2321, 0.8368)
Ir (0.4915, 0.7975, 0.8427)
Ir (0.5085, 0.2025, 0.1573)
Ir (0.6751, 0.7679, 0.1632)
Ir (0.7587, 0.0209, 0.4274)
Ir (0.8342, 0.3060, 0.6497)
Ir (0.9170, 0.3785, 0.2861)